(1)
Density functional theory data (PBE) for an optimized crystal structure of ErZn3.

abc: 4.153 4.400 4.153
angles: 90.00 90.00 90.00
Sites, in units of the cell vectors:
Zn: 0.000 0.000 0.917
Zn: 0.500 0.000 0.417
Zn: 0.500 0.500 0.917
Er: 0.000 0.500 0.417

Calculated values
Magnetization: 0.001 μB/cell
Formation enthalpy at 0 K: -0.2210 eV per atom

***

(2)
Density functional theory data (PBE) for an optimized crystal structure of ErZn2.

abc: 5.426 5.426 5.426
angles: 60.00 60.00 60.00
Sites, in units of the cell vectors:
Zn: 0.125 0.625 0.625
Zn: 0.625 0.125 0.625
Zn: 0.625 0.625 0.625
Zn: 0.625 0.625 0.125
Er: 0.000 0.000 0.000
Er: 0.250 0.250 0.250

Calculated values
Magnetization: 0.000 μB/cell
Formation enthalpy at 0 K: -0.3322 eV per atom

***

(3)
Density functional theory data (PBE) for an optimized crystal structure of Er6Zn5.

abc: 4.958 7.068 8.571
angles: 114.35 106.81 90.00
Sites, in units of the cell vectors:
Er: 0.500 0.751 0.000
Er: 0.500 0.249 0.000
Er: 0.836 0.084 0.673
Er: 0.836 0.589 0.673
Er: 0.164 0.916 0.327
Er: 0.164 0.411 0.327
Zn: 0.000 0.500 0.000
Zn: 0.669 0.669 0.338
Zn: 0.331 0.331 0.662
Zn: 0.328 0.828 0.657
Zn: 0.672 0.172 0.343

Calculated values
Magnetization: 0.001 μB/cell
Formation enthalpy at 0 K: -0.2536 eV per atom

***

(4)
Density functional theory data (PBE) for an optimized crystal structure of Er4Zn.

abc: 8.569 5.695 8.726
angles: 70.96 60.59 48.37
Sites, in units of the cell vectors:
Er: 0.340 0.349 0.624
Er: 0.037 0.151 0.624
Er: 0.257 0.157 0.173
Er: 0.570 0.343 0.173
Er: 0.743 0.843 0.827
Er: 0.430 0.657 0.827
Er: 0.963 0.849 0.376
Er: 0.660 0.651 0.376
Zn: 0.000 0.250 0.000
Zn: 0.000 0.750 0.000

Calculated values
Magnetization: 0.000 μB/cell
Polymorph energy (0 for the lowest one): 0 meV per atom
Formation enthalpy at 0 K: -0.0529 eV per atom

***

(5)
Density functional theory data (PBE) for an optimized crystal structure of ErZn3.

abc: 4.341 6.679 10.026
angles: 90.00 90.00 90.00
Sites, in units of the cell vectors:
Er: 0.250 0.279 0.663
Er: 0.250 0.779 0.837
Er: 0.750 0.721 0.337
Er: 0.750 0.221 0.163
Zn: 0.250 0.537 0.104
Zn: 0.250 0.037 0.396
Zn: 0.750 0.463 0.896
Zn: 0.750 0.963 0.604
Zn: 0.250 0.919 0.148
Zn: 0.250 0.419 0.352
Zn: 0.750 0.081 0.852
Zn: 0.750 0.581 0.648
Zn: 0.250 0.217 0.957
Zn: 0.250 0.717 0.543
Zn: 0.750 0.783 0.043
Zn: 0.750 0.283 0.457

Calculated values
Magnetization: 0.000 μB/cell
Formation enthalpy at 0 K: -0.3508 eV per atom

***

(6)
Density functional theory data (PBE) for an optimized crystal structure of ErZn12.

abc: 6.754 6.754 6.754
angles: 98.80 98.80 133.95
Sites, in units of the cell vectors:
Er: 0.000 0.000 0.000
Zn: 0.717 0.500 0.217
Zn: 0.000 0.500 0.000
Zn: 0.500 0.500 0.500
Zn: 0.000 0.000 0.500
Zn: 0.500 0.000 0.000
Zn: 0.352 0.000 0.352
Zn: 0.000 0.648 0.648
Zn: 0.000 0.352 0.352
Zn: 0.648 0.000 0.648
Zn: 0.283 0.500 0.783
Zn: 0.500 0.717 0.217
Zn: 0.500 0.283 0.783

Calculated values
Magnetization: 0.000 μB/cell
Formation enthalpy at 0 K: -0.1610 eV per atom

***

(7)
Density functional theory data (PBE) for an optimized crystal structure of Er5Zn3.

abc: 3.537 3.537 15.621
angles: 90.00 90.00 90.00
Sites, in units of the cell vectors:
Er: 0.000 0.000 0.224
Er: 0.500 0.500 0.611
Er: 0.500 0.500 0.389
Er: 0.000 0.000 0.776
Er: 0.000 0.000 0.000
Zn: 0.500 0.500 0.113
Zn: 0.500 0.500 0.887
Zn: 0.000 0.000 0.500

Calculated values
Magnetization: 0.000 μB/cell
Formation enthalpy at 0 K: -0.2511 eV per atom

***

(8)
Density functional theory data (PBE) for an optimized crystal structure of Er5Zn.

abc: 5.849 5.841 5.934
angles: 60.52 99.26 109.08
Sites, in units of the cell vectors:
Er: 0.500 0.810 0.379
Er: 0.000 0.636 0.728
Er: 0.500 0.472 0.056
Er: 0.000 0.309 0.383
Er: 0.500 0.134 0.732
Zn: 0.000 0.972 0.056

Calculated values
Magnetization: 0.000 μB/cell
Polymorph energy (0 for the lowest one): 49 meV per atom
Formation enthalpy at 0 K: 0.0436 eV per atom

***

(9)
Density functional theory data (PBE) for an optimized crystal structure of Er3Zn2.

abc: 4.917 7.794 10.446
angles: 90.28 90.00 108.39
Sites, in units of the cell vectors:
Er: 0.830 0.660 0.004
Er: 0.170 0.340 0.996
Er: 0.837 0.674 0.330
Er: 0.163 0.326 0.670
Er: 0.167 0.334 0.333
Er: 0.833 0.666 0.667
Er: 0.497 0.993 0.337
Er: 0.503 0.007 0.663
Er: 0.500 0.000 0.000
Zn: 0.670 0.340 0.497
Zn: 0.330 0.660 0.503
Zn: 0.663 0.326 0.170
Zn: 0.337 0.674 0.830
Zn: 0.004 0.007 0.163
Zn: 0.996 0.993 0.837

Calculated values
Magnetization: 0.001 μB/cell
Polymorph energy (0 for the lowest one): 137 meV per atom
Formation enthalpy at 0 K: -0.1366 eV per atom

***

(10)
Density functional theory data (PBE) for an optimized crystal structure of ErZn5.

abc: 8.874 8.874 9.005
angles: 90.00 90.00 120.00
Sites, in units of the cell vectors:
Er: 0.192 0.383 0.250
Er: 0.808 0.192 0.750
Er: 0.383 0.192 0.750
Er: 0.617 0.808 0.250
Er: 0.192 0.808 0.250
Er: 0.808 0.617 0.750
Zn: 0.000 0.000 0.000
Zn: 0.000 0.000 0.500
Zn: 0.333 0.667 0.017
Zn: 0.667 0.333 0.517
Zn: 0.667 0.333 0.983
Zn: 0.333 0.667 0.483
Zn: 0.500 0.000 0.000
Zn: 0.500 0.500 0.500
Zn: 0.000 0.500 0.500
Zn: 0.000 0.500 0.000
Zn: 0.500 0.500 0.000
Zn: 0.500 0.000 0.500
Zn: 0.568 0.136 0.250
Zn: 0.432 0.568 0.750
Zn: 0.136 0.568 0.750
Zn: 0.864 0.432 0.250
Zn: 0.568 0.432 0.250
Zn: 0.432 0.864 0.750
Zn: 0.840 0.680 0.093
Zn: 0.160 0.840 0.593
Zn: 0.680 0.840 0.593
Zn: 0.320 0.160 0.093
Zn: 0.840 0.160 0.093
Zn: 0.160 0.320 0.907
Zn: 0.160 0.840 0.907
Zn: 0.160 0.320 0.593
Zn: 0.680 0.840 0.907
Zn: 0.320 0.160 0.407
Zn: 0.840 0.680 0.407
Zn: 0.840 0.160 0.407

Calculated values
Magnetization: 0.000 μB/cell
Formation enthalpy at 0 K: -0.2561 eV per atom

***

(11)
Density functional theory data (PBE) for an optimized crystal structure of ErZn.

abc: 3.540 3.540 3.540
angles: 90.00 90.00 90.00
Sites, in units of the cell vectors:
Zn: 0.500 0.500 0.500
Er: 0.000 0.000 0.000

Calculated values
Magnetization: 0.000 μB/cell
Formation enthalpy at 0 K: -0.3464 eV per atom

***

(12)
Density functional theory data (PBE) for an optimized crystal structure of ErZn5.

abc: 5.289 5.289 4.192
angles: 90.00 90.00 120.00
Sites, in units of the cell vectors:
Er: 0.000 0.000 0.000
Zn: 0.500 0.000 0.500
Zn: 0.000 0.500 0.500
Zn: 0.667 0.333 0.000
Zn: 0.500 0.500 0.500
Zn: 0.333 0.667 0.000

Calculated values
Magnetization: 0.000 μB/cell
Formation enthalpy at 0 K: -0.2603 eV per atom

***

Copy entry 4 word for word.
Density functional theory data (PBE) for an optimized crystal structure of Er4Zn.

abc: 8.569 5.695 8.726
angles: 70.96 60.59 48.37
Sites, in units of the cell vectors:
Er: 0.340 0.349 0.624
Er: 0.037 0.151 0.624
Er: 0.257 0.157 0.173
Er: 0.570 0.343 0.173
Er: 0.743 0.843 0.827
Er: 0.430 0.657 0.827
Er: 0.963 0.849 0.376
Er: 0.660 0.651 0.376
Zn: 0.000 0.250 0.000
Zn: 0.000 0.750 0.000

Calculated values
Magnetization: 0.000 μB/cell
Polymorph energy (0 for the lowest one): 0 meV per atom
Formation enthalpy at 0 K: -0.0529 eV per atom